Entry from the Alexandria database: a relaxed structure of Ba2PdPb2 (GGA-PBE).

```
data_Ba2PdPb2
_chemical_formula_sum 'Ba4 Pd2 Pb4'
_space_group_name_H-M_alt 'P 4/m b m'
_space_group_IT_number 127
_space_group_name_Hall '-P 4 2ab'
_cell_length_a 7.830
_cell_length_b 7.830
_cell_length_c 5.532
_cell_angle_alpha 90.00
_cell_angle_beta 90.00
_cell_angle_gamma 90.00
loop_
_atom_site_label
_atom_site_type_symbol
_atom_site_fract_x
_atom_site_fract_y
_atom_site_fract_z
Ba1 Ba 0.163 0.337 0.000
Pd1 Pd 0.000 0.000 0.500
Pb1 Pb 0.146 0.646 0.500
```

electronic total energy	-3.693	eV per atom
V	169.6	Å³/f.u.
energy relative to the elements	-0.402	eV/atom
E above lowest polymorph	136.2	meV per atom